# 1
The following is a DFT calculation (GGA-PBE) of Ac3Tl3Sn2 after structural relaxation.

Values from the calculation:
SG = Cmcm
DFT total energy = -61.89 eV/cell
calculated volume = 33.31 A^3/atom
energy relative to the elements = -439 meV per atom
DOS at the Fermi energy = 10.64 states/eV/cell

Lattice parameters (Å, degrees): 6.7664 6.7664 17.2460 90.00 90.00 137.55
Closest atoms and distances in Å follow each position.
Fractional positions:
Ac1 0.0577 0.9423 0.6105  6 Tl 3.47-3.64, 3 Sn 3.62-3.65
Ac2 0.0577 0.9423 0.8895  6 Tl 3.47-3.64, 3 Sn 3.62-3.65
Ac3 0.3297 0.6703 0.7500  3 Tl 3.35-3.75, 4 Sn 3.43
Ac4 0.6703 0.3297 0.2500  3 Tl 3.35-3.75, 4 Sn 3.43
Ac5 0.9423 0.0577 0.1105  6 Tl 3.47-3.64, 3 Sn 3.62-3.65
Ac6 0.9423 0.0577 0.3895  6 Tl 3.47-3.64, 3 Sn 3.62-3.65
Tl1 0.3705 0.6295 0.5347  3 Sn 3.12-3.16, 1 Tl 3.48
Tl2 0.3705 0.6295 0.9653  3 Sn 3.12-3.16, 1 Tl 3.48
Tl3 0.4044 0.5956 0.2500  2 Sn 3.15, 5 Ac 3.35-3.47
Tl4 0.5956 0.4044 0.7500  2 Sn 3.15, 5 Ac 3.35-3.47
Tl5 0.6295 0.3705 0.0347  3 Sn 3.12-3.16, 1 Tl 3.48
Tl6 0.6295 0.3705 0.4653  3 Sn 3.12-3.16, 1 Tl 3.48
Sn1 0.2315 0.7685 0.1180  4 Tl 3.12-3.16, 2 Ac 3.43
Sn2 0.2315 0.7685 0.3820  4 Tl 3.12-3.16, 2 Ac 3.43
Sn3 0.7685 0.2315 0.6180  4 Tl 3.12-3.16, 2 Ac 3.43
Sn4 0.7685 0.2315 0.8820  4 Tl 3.12-3.16, 2 Ac 3.43

---

# 2
The following is a DFT calculation (GGA-PBE) of Ac6TlSn6 after structural relaxation.

Values from the calculation:
SG = P6/mmm
DFT total energy = -58.16 eV/cell
calculated volume = 35.53 A^3/atom
energy relative to the elements = -549 meV per atom
DOS at the Fermi energy = 12.96 states/eV/cell

Lattice parameters (Å, degrees): 6.8724 6.8724 11.2942 90.00 90.00 120.00
Closest atoms and distances in Å follow each position.
Fractional positions:
Ac1 0.0000 0.0000 0.1995  1 Tl 3.39, 6 Sn 3.48
Ac2 0.0000 0.0000 0.8005  1 Tl 3.39, 6 Sn 3.48
Ac3 0.3333 0.6667 0.0000  6 Sn 3.45
Ac4 0.3333 0.6667 0.5000  6 Sn 3.45
Ac5 0.6667 0.3333 0.0000  6 Sn 3.45
Ac6 0.6667 0.3333 0.5000  6 Sn 3.45
Tl1 0.0000 0.0000 0.5000  2 Ac 3.39
Sn1 0.0000 0.5000 0.2503  4 Sn 3.44, 6 Ac 3.45-3.48
Sn2 0.0000 0.5000 0.7497  4 Sn 3.44, 6 Ac 3.45-3.48
Sn3 0.5000 0.0000 0.2503  4 Sn 3.44, 6 Ac 3.45-3.48
Sn4 0.5000 0.0000 0.7497  4 Sn 3.44, 6 Ac 3.45-3.48
Sn5 0.5000 0.5000 0.2503  4 Sn 3.44, 6 Ac 3.45-3.48
Sn6 0.5000 0.5000 0.7497  4 Sn 3.44, 6 Ac 3.45-3.48

---

# 3
The following is a DFT calculation (GGA-PBE) of Ac4Tl2Sn3 after structural relaxation.

Values from the calculation:
SG = Cmce
DFT total energy = -73.40 eV/cell
calculated volume = 36.55 A^3/atom
energy relative to the elements = -392 meV per atom
DOS at the Fermi energy = 12.80 states/eV/cell

Lattice parameters (Å, degrees): 9.1530 9.1530 8.5312 90.00 90.00 113.00
Closest atoms and distances in Å follow each position.
Fractional positions:
Ac1 0.1847 0.3153 0.2500  2 Tl 3.43, 3 Sn 3.45-3.63
Ac2 0.2223 0.7777 0.9993  5 Sn 3.33-3.52, 1 Tl 3.34
Ac3 0.2777 0.7223 0.4993  5 Sn 3.33-3.52, 1 Tl 3.34
Ac4 0.3153 0.1847 0.7500  2 Tl 3.43, 3 Sn 3.45-3.63
Ac5 0.6847 0.8153 0.2500  2 Tl 3.43, 3 Sn 3.45-3.63
Ac6 0.7223 0.2777 0.5007  5 Sn 3.33-3.52, 1 Tl 3.34
Ac7 0.7777 0.2223 0.0007  5 Sn 3.33-3.52, 1 Tl 3.34
Ac8 0.8153 0.6847 0.7500  2 Tl 3.43, 3 Sn 3.45-3.63
Tl1 0.0731 0.9269 0.3622  1 Tl 3.24, 3 Sn 3.29-3.30, 3 Ac 3.34-3.43
Tl2 0.4269 0.5731 0.8622  1 Tl 3.24, 3 Sn 3.29-3.30, 3 Ac 3.34-3.43
Tl3 0.5731 0.4269 0.1378  1 Tl 3.24, 3 Sn 3.29-3.30, 3 Ac 3.34-3.43
Tl4 0.9269 0.0731 0.6378  1 Tl 3.24, 3 Sn 3.29-3.30, 3 Ac 3.34-3.43
Sn1 0.0000 0.0000 0.0000  2 Tl 3.29, 6 Ac 3.39-3.45
Sn2 0.0530 0.4470 0.7500  2 Tl 3.30, 5 Ac 3.33-3.63
Sn3 0.4470 0.0530 0.2500  2 Tl 3.30, 5 Ac 3.33-3.63
Sn4 0.5000 0.5000 0.5000  2 Tl 3.29, 6 Ac 3.39-3.45
Sn5 0.5530 0.9470 0.7500  2 Tl 3.30, 5 Ac 3.33-3.63
Sn6 0.9470 0.5530 0.2500  2 Tl 3.30, 5 Ac 3.33-3.63

---

# 4
The following is a DFT calculation (GGA-PBE) of Ac3Tl2Sn3 after structural relaxation.

Values from the calculation:
SG = Immm
DFT total energy = -32.59 eV/cell
calculated volume = 33.21 A^3/atom
energy relative to the elements = -440 meV per atom
DOS at the Fermi energy = 6.43 states/eV/cell

Lattice parameters (Å, degrees): 11.6957 11.6957 11.6957 157.15 154.65 34.39
Closest atoms and distances in Å follow each position.
Fractional positions:
Ac1 0.0000 0.0000 0.0000  8 Sn 3.46-3.56, 4 Ac 3.85
Ac2 0.1373 0.6373 0.5000  4 Tl 3.41-3.63, 4 Sn 3.51
Ac3 0.8627 0.3627 0.5000  4 Tl 3.41-3.63, 4 Sn 3.51
Tl1 0.2624 0.2624 0.0000  4 Ac 3.41-3.63, 4 Tl 3.50, 2 Sn 3.66
Tl2 0.7376 0.7376 0.0000  4 Ac 3.41-3.63, 4 Tl 3.50, 2 Sn 3.66
Sn1 0.3894 0.8894 0.5000  2 Sn 3.39, 6 Ac 3.51-3.56, 2 Tl 3.66
Sn2 0.5000 0.5000 0.0000  4 Sn 3.39, 4 Ac 3.46
Sn3 0.6106 0.1106 0.5000  2 Sn 3.39, 6 Ac 3.51-3.56, 2 Tl 3.66

---

# 5
The following is a DFT calculation (GGA-PBE) of Ac5Tl3Sn after structural relaxation.

Values from the calculation:
SG = P6_3/mcm
DFT total energy = -69.91 eV/cell
calculated volume = 36.96 A^3/atom
energy relative to the elements = -368 meV per atom
DOS at the Fermi energy = 23.21 states/eV/cell

Lattice parameters (Å, degrees): 10.3241 10.3241 7.2069 90.00 90.00 120.00
Closest atoms and distances in Å follow each position.
Fractional positions:
Ac1 0.0000 0.2737 0.2500  2 Sn 3.35, 3 Tl 3.53-3.54
Ac2 0.0000 0.7263 0.7500  2 Sn 3.35, 3 Tl 3.53-3.54
Ac3 0.2737 0.0000 0.2500  2 Sn 3.35, 3 Tl 3.53-3.54
Ac4 0.2737 0.2737 0.7500  2 Sn 3.35, 3 Tl 3.53-3.54
Ac5 0.3333 0.6667 0.0000  2 Ac 3.60, 6 Tl 3.68
Ac6 0.3333 0.6667 0.5000  2 Ac 3.60, 6 Tl 3.68
Ac7 0.6667 0.3333 0.0000  2 Ac 3.60, 6 Tl 3.68
Ac8 0.6667 0.3333 0.5000  2 Ac 3.60, 6 Tl 3.68
Ac9 0.7263 0.0000 0.7500  2 Sn 3.35, 3 Tl 3.53-3.54
Ac10 0.7263 0.7263 0.2500  2 Sn 3.35, 3 Tl 3.53-3.54
Tl1 0.0000 0.3834 0.7500  9 Ac 3.53-3.78
Tl2 0.0000 0.6166 0.2500  9 Ac 3.53-3.78
Tl3 0.3834 0.0000 0.7500  9 Ac 3.53-3.78
Tl4 0.3834 0.3834 0.2500  9 Ac 3.53-3.78
Tl5 0.6166 0.0000 0.2500  9 Ac 3.53-3.78
Tl6 0.6166 0.6166 0.7500  9 Ac 3.53-3.78
Sn1 0.0000 0.0000 0.0000  6 Ac 3.35, 2 Sn 3.60
Sn2 0.0000 0.0000 0.5000  6 Ac 3.35, 2 Sn 3.60

---

# 6
The following is a DFT calculation (GGA-PBE) of Ac8Tl3Sn4 after structural relaxation.

Values from the calculation:
SG = C2/m
DFT total energy = -61.14 eV/cell
calculated volume = 40.99 A^3/atom
energy relative to the elements = -344 meV per atom
DOS at the Fermi energy = 15.10 states/eV/cell

Lattice parameters (Å, degrees): 9.6588 9.6588 8.2674 115.25 115.25 90.13
Closest atoms and distances in Å follow each position.
Fractional positions:
Ac1 0.2454 0.7546 0.0000  3 Sn 3.36-3.41, 3 Tl 3.42-3.48
Ac2 0.2464 0.2464 0.4917  2 Sn 3.37-3.42, 3 Tl 3.42-3.47
Ac3 0.2496 0.2496 0.0081  4 Sn 3.37-3.42, 1 Tl 3.46
Ac4 0.2525 0.7475 0.5000  3 Sn 3.39-3.42, 2 Tl 3.41
Ac5 0.7475 0.2525 0.5000  3 Sn 3.39-3.42, 2 Tl 3.41
Ac6 0.7504 0.7504 0.9919  4 Sn 3.37-3.42, 1 Tl 3.46
Ac7 0.7536 0.7536 0.5083  2 Sn 3.37-3.42, 3 Tl 3.42-3.47
Ac8 0.7546 0.2454 0.0000  3 Sn 3.36-3.41, 3 Tl 3.42-3.48
Tl1 0.0000 0.5000 0.5000  6 Ac 3.41-3.42
Tl2 0.5000 0.0000 0.5000  6 Ac 3.41-3.42
Tl3 0.5000 0.5000 0.0000  6 Ac 3.46-3.48
Sn1 0.0000 0.0000 0.0000  6 Ac 3.36-3.37
Sn2 0.0000 0.5000 0.0000  6 Ac 3.41-3.42
Sn3 0.5000 0.0000 0.0000  6 Ac 3.41-3.42
Sn4 0.5000 0.5000 0.5000  6 Ac 3.38-3.42

---

# 7
The following is a DFT calculation (GGA-PBE) of Ac2TlSn after structural relaxation.

Values from the calculation:
SG = Fm-3m
DFT total energy = -16.51 eV/cell
calculated volume = 34.73 A^3/atom
energy relative to the elements = -481 meV per atom
DOS at the Fermi energy = 2.46 states/eV/cell

Lattice parameters (Å, degrees): 5.8136 5.8136 5.8136 60.00 60.00 60.00
Closest atoms and distances in Å follow each position.
Fractional positions:
Ac1 0.2500 0.2500 0.2500  4 Tl 3.56, 4 Sn 3.56
Ac2 0.7500 0.7500 0.7500  4 Sn 3.56, 4 Tl 3.56
Tl1 0.0000 0.0000 0.0000  8 Ac 3.56
Sn1 0.5000 0.5000 0.5000  8 Ac 3.56

---

# 8
The following is a DFT calculation (GGA-PBE) of Ac5TlSn2 after structural relaxation.

Values from the calculation:
SG = Cmcm
DFT total energy = -67.33 eV/cell
calculated volume = 38.71 A^3/atom
polymorph energy (0 for the lowest one) = 149 meV per atom
energy relative to the elements = -344 meV per atom
DOS at the Fermi energy = 15.06 states/eV/cell

Lattice parameters (Å, degrees): 6.6800 6.6800 18.3265 90.00 90.00 130.76
Closest atoms and distances in Å follow each position.
Fractional positions:
Ac1 0.0951 0.9049 0.5830  3 Sn 3.33-3.41, 1 Tl 3.36, 3 Ac 3.70-3.72
Ac2 0.0951 0.9049 0.9170  3 Sn 3.33-3.41, 1 Tl 3.36, 3 Ac 3.70-3.72
Ac3 0.3074 0.6926 0.2500  2 Sn 3.36, 1 Tl 3.51
Ac4 0.3986 0.6014 0.6118  3 Sn 3.44-3.75, 3 Ac 3.70-3.72
Ac5 0.3986 0.6014 0.8882  3 Sn 3.44-3.75, 3 Ac 3.70-3.72
Ac6 0.6014 0.3986 0.1118  3 Sn 3.44-3.75, 3 Ac 3.70-3.72
Ac7 0.6014 0.3986 0.3882  3 Sn 3.44-3.75, 3 Ac 3.70-3.72
Ac8 0.6926 0.3074 0.7500  2 Sn 3.36, 1 Tl 3.51
Ac9 0.9049 0.0951 0.0830  3 Sn 3.33-3.41, 1 Tl 3.36, 3 Ac 3.70-3.72
Ac10 0.9049 0.0951 0.4170  3 Sn 3.33-3.41, 1 Tl 3.36, 3 Ac 3.70-3.72
Tl1 0.0184 0.9816 0.2500  3 Ac 3.36-3.51
Tl2 0.9816 0.0184 0.7500  3 Ac 3.36-3.51
Sn1 0.2554 0.7446 0.0698  6 Ac 3.33-3.44
Sn2 0.2554 0.7446 0.4302  6 Ac 3.33-3.44
Sn3 0.7446 0.2554 0.5698  6 Ac 3.33-3.44
Sn4 0.7446 0.2554 0.9302  6 Ac 3.33-3.44

---

# 9
The following is a DFT calculation (GGA-PBE) of Ac12TlSn6 after structural relaxation.

Values from the calculation:
SG = R-3
DFT total energy = -82.37 eV/cell
calculated volume = 44.56 A^3/atom
energy relative to the elements = -352 meV per atom
DOS at the Fermi energy = 17.53 states/eV/cell

Lattice parameters (Å, degrees): 9.6606 9.6606 9.6606 100.78 100.78 100.78
Closest atoms and distances in Å follow each position.
Fractional positions:
Ac1 0.0503 0.6700 0.9434  1 Tl 3.27, 3 Sn 3.32-3.63
Ac2 0.0566 0.9497 0.3300  1 Tl 3.27, 3 Sn 3.32-3.63
Ac3 0.1851 0.4185 0.5579  4 Sn 3.37-3.54
Ac4 0.3300 0.0566 0.9497  1 Tl 3.27, 3 Sn 3.32-3.63
Ac5 0.4185 0.5579 0.1851  4 Sn 3.37-3.54
Ac6 0.4421 0.8149 0.5815  4 Sn 3.37-3.54
Ac7 0.5579 0.1851 0.4185  4 Sn 3.37-3.54
Ac8 0.5815 0.4421 0.8149  4 Sn 3.37-3.54
Ac9 0.6700 0.9434 0.0503  1 Tl 3.27, 3 Sn 3.32-3.63
Ac10 0.8149 0.5815 0.4421  4 Sn 3.37-3.54
Ac11 0.9434 0.0503 0.6700  1 Tl 3.27, 3 Sn 3.32-3.63
Ac12 0.9497 0.3300 0.0566  1 Tl 3.27, 3 Sn 3.32-3.63
Tl1 0.0000 0.0000 0.0000  6 Ac 3.27
Sn1 0.1294 0.6223 0.3117  7 Ac 3.32-3.63
Sn2 0.3117 0.1294 0.6223  7 Ac 3.32-3.63
Sn3 0.3777 0.6883 0.8706  7 Ac 3.32-3.63
Sn4 0.6223 0.3117 0.1294  7 Ac 3.32-3.63
Sn5 0.6883 0.8706 0.3777  7 Ac 3.32-3.63
Sn6 0.8706 0.3777 0.6883  7 Ac 3.32-3.63

---

Which of these has the highest calculated volume?
Ac12TlSn6

---

Which of these has the lowest calculated volume?
Ac3Tl2Sn3

---

Look up the calculated volume of the third one.
36.55 A^3/atom